DFT (PBE) results for an optimized crystal structure of MoCl.

M_tot	0.000	μB per atom
uncorrected formation energy	-0.13	eV per atom
SG	Cm, No. 8
E_tot	-6.464	eV/atom

POSCAR file:
```
MoCl
1.0
6.743 -1.539 0.000
6.743 1.539 0.000
-1.641 0.000 6.343
Mo Cl
3 3
direct
0.000 0.000 0.000
0.365 0.365 0.829
0.521 0.521 0.667
0.168 0.168 0.826
0.582 0.582 0.318
0.874 0.874 0.487
```

=====

DFT (PBE) results for an optimized crystal structure of MoCl.

M_tot	0.000	μB per atom
uncorrected formation energy	0.01	eV per atom
SG	I4/m, No. 87
E_tot	-6.334	eV/atom

POSCAR file:
```
MoCl
1.0
-5.525 5.525 1.626
5.525 -5.525 1.626
5.525 5.525 -1.626
Mo Cl
4 4
direct
0.189 0.295 0.484
0.295 0.811 0.107
0.705 0.189 0.893
0.811 0.705 0.516
0.265 0.501 0.766
0.499 0.265 0.764
0.501 0.735 0.236
0.735 0.499 0.234
```

=====

DFT (PBE) results for an optimized crystal structure of MoCl.

M_tot	0.000	μB per atom
uncorrected formation energy	-0.31	eV per atom
SG	C2/m, No. 12
E_tot	-6.646	eV/atom

POSCAR file:
```
MoCl
1.0
8.996 -1.502 0.000
8.996 1.502 0.000
-0.087 0.000 3.332
Mo Cl
2 2
direct
0.208 0.208 0.244
0.792 0.792 0.756
0.397 0.397 0.771
0.603 0.603 0.229
```

=====

DFT (PBE) results for an optimized crystal structure of MoCl.

M_tot	0.000	μB per atom
uncorrected formation energy	0.64	eV per atom
SG	P-6m2, No. 187
E_tot	-5.698	eV/atom

POSCAR file:
```
MoCl
1.0
2.945 0.000 0.000
-1.473 2.551 0.000
0.000 0.000 4.242
Mo Cl
1 1
direct
0.000 0.000 0.000
0.333 0.667 0.500
```

=====

DFT (PBE) results for an optimized crystal structure of MoCl5.

M_tot	0.167	μB per atom
uncorrected formation energy	-0.79	eV per atom
SG	P2_1/c, No. 14
E_tot	-4.138	eV/atom

POSCAR file:
```
MoCl5
1.0
9.812 0.000 0.000
0.000 12.524 0.000
-4.455 0.000 12.343
Mo Cl
8 40
direct
0.121 0.125 0.315
0.121 0.375 0.815
0.304 0.622 0.295
0.304 0.878 0.795
0.696 0.122 0.205
0.696 0.378 0.705
0.879 0.625 0.185
0.879 0.875 0.685
0.091 0.519 0.167
0.091 0.981 0.667
0.092 0.728 0.313
0.092 0.772 0.813
0.094 0.232 0.448
0.094 0.268 0.948
0.097 0.018 0.168
0.097 0.482 0.668
0.275 0.516 0.428
0.275 0.984 0.928
0.281 0.730 0.149
0.281 0.770 0.649
0.282 0.014 0.433
0.282 0.236 0.279
0.282 0.264 0.779
0.282 0.486 0.933
0.464 0.510 0.260
0.464 0.990 0.760
0.466 0.732 0.413
0.466 0.768 0.913
0.534 0.232 0.087
0.534 0.268 0.587
0.536 0.010 0.240
0.536 0.490 0.740
0.718 0.514 0.067
0.718 0.736 0.221
0.718 0.764 0.721
0.718 0.986 0.567
0.719 0.230 0.351
0.719 0.270 0.851
0.725 0.016 0.072
0.725 0.484 0.572
0.903 0.518 0.332
0.903 0.982 0.832
0.906 0.732 0.052
0.906 0.768 0.552
0.908 0.228 0.187
0.908 0.272 0.687
0.909 0.019 0.333
0.909 0.481 0.833
```

=====

DFT (PBE) results for an optimized crystal structure of MoCl.

M_tot	0.000	μB per atom
uncorrected formation energy	1.07	eV per atom
SG	P6_3/mmc, No. 194
E_tot	-5.271	eV/atom

POSCAR file:
```
MoCl
1.0
4.808 0.000 0.000
-2.404 4.164 0.000
0.000 0.000 7.176
Mo Cl
4 4
direct
0.333 0.667 0.082
0.333 0.667 0.418
0.667 0.333 0.582
0.667 0.333 0.918
0.000 0.000 0.250
0.000 0.000 0.750
0.333 0.667 0.750
0.667 0.333 0.250
```

=====

DFT (PBE) results for an optimized crystal structure of MoCl.

M_tot	0.000	μB per atom
uncorrected formation energy	0.94	eV per atom
SG	Pm-3m, No. 221
E_tot	-5.398	eV/atom

POSCAR file:
```
MoCl
1.0
3.092 0.000 0.000
0.000 3.092 0.000
0.000 0.000 3.092
Mo Cl
1 1
direct
0.000 0.000 0.000
0.500 0.500 0.500
```

=====

DFT (PBE) results for an optimized crystal structure of Mo4Cl5.

M_tot	0.004	μB per atom
uncorrected formation energy	0.45	eV per atom
SG	I4/mmm, No. 139
E_tot	-5.394	eV/atom

POSCAR file:
```
Mo4Cl5
1.0
-5.089 5.089 1.590
5.089 -5.089 1.590
5.089 5.089 -1.590
Mo Cl
4 5
direct
0.000 0.355 0.355
0.000 0.645 0.645
0.355 0.000 0.355
0.645 0.000 0.645
0.000 0.000 0.000
0.336 0.336 0.673
0.336 0.664 0.000
0.664 0.336 0.000
0.664 0.664 0.327
```

=====

DFT (PBE) results for an optimized crystal structure of Mo2Cl.

M_tot	0.000	μB per atom
uncorrected formation energy	0.89	eV per atom
SG	I4/mcm, No. 140
E_tot	-6.949	eV/atom

POSCAR file:
```
Mo2Cl
1.0
-2.954 2.954 2.652
2.954 -2.954 2.652
2.954 2.954 -2.652
Mo Cl
4 2
direct
0.149 0.649 0.798
0.351 0.149 0.500
0.649 0.851 0.500
0.851 0.351 0.202
0.250 0.250 0.000
0.750 0.750 0.000
```

=====

DFT (PBE) results for an optimized crystal structure of Mo2Cl3.

M_tot	0.000	μB per atom
uncorrected formation energy	-0.05	eV per atom
SG	R-3m, No. 166
E_tot	-5.491	eV/atom

POSCAR file:
```
Mo2Cl3
1.0
1.575 0.909 11.221
-1.575 0.909 11.221
0.000 -1.819 11.221
Mo Cl
2 3
direct
0.105 0.105 0.105
0.895 0.895 0.895
0.275 0.275 0.275
0.500 0.500 0.500
0.725 0.725 0.725
```

=====

DFT (PBE) results for an optimized crystal structure of MoCl.

M_tot	0.000	μB per atom
uncorrected formation energy	-0.40	eV per atom
SG	P-1, No. 2
E_tot	-6.738	eV/atom

POSCAR file:
```
MoCl
1.0
3.175 0.000 0.000
1.588 2.750 0.000
1.494 0.630 9.201
Mo Cl
2 2
direct
0.131 0.143 0.101
0.869 0.857 0.899
0.271 0.234 0.706
0.729 0.766 0.294
```

=====

DFT (PBE) results for an optimized crystal structure of Mo2Cl.

M_tot	0.000	μB per atom
uncorrected formation energy	0.15	eV per atom
SG	C2/m, No. 12
E_tot	-7.683	eV/atom

POSCAR file:
```
Mo2Cl
1.0
5.017 -1.513 0.000
5.017 1.513 0.000
-1.414 0.000 8.079
Mo Cl
4 2
direct
0.022 0.022 0.359
0.308 0.308 0.395
0.692 0.692 0.605
0.978 0.978 0.641
0.346 0.346 0.827
0.654 0.654 0.173
```